First-principles (GGA+U) data for HoV2BiO8 after structural relaxation, as listed in the Alexandria database.

a b c (Å): 5.8087 5.8087 6.6882
angles (deg): 90.00 90.00 120.00
Space group P-3m1 (No. 164)
Inequivalent atoms, fractional coordinates:
Ho (0.0000, 0.0000, 0.0000)
V (0.3333, 0.6667, 0.3088)
Bi (0.0000, 0.0000, 0.5000)
O (0.1634, 0.3268, 0.2315)
O (0.3333, 0.6667, 0.5549)

Final energy   -7.3576 eV per atom